[1]
# ScInSe, PBEsol geometry, DFT meta-GGA SCAN
data_ScInSe
_chemical_formula_sum 'Sc2 In2 Se2'
_cell_length_a 3.485
_cell_length_b 3.485
_cell_length_c 11.127
_cell_angle_alpha 90.00
_cell_angle_beta 90.00
_cell_angle_gamma 90.00
_space_group_name_H-M_alt 'I 4 m m'
_space_group_IT_number 107
_space_group_name_Hall 'I 4 -2'
loop_
_atom_site_label
_atom_site_fract_x
_atom_site_fract_y
_atom_site_fract_z
Sc1 0.000 0.000 0.000
In1 0.000 0.000 0.321
Se1 0.000 0.000 0.594
# Total energy, Ry/atom: -1.7273
# Crystal system: tetragonal
# Density, g/cm³: 5.9

[2]
# ScInSe3, PBEsol geometry, DFT meta-GGA SCAN
data_ScInSe3
_chemical_formula_sum 'Sc1 In1 Se3'
_cell_length_a 5.127
_cell_length_b 5.127
_cell_length_c 5.127
_cell_angle_alpha 90.00
_cell_angle_beta 90.00
_cell_angle_gamma 90.00
_space_group_name_H-M_alt 'P m -3 m'
_space_group_IT_number 221
_space_group_name_Hall '-P 4 2 3'
loop_
_atom_site_label
_atom_site_fract_x
_atom_site_fract_y
_atom_site_fract_z
Sc1 0.000 0.000 0.000
In1 0.500 0.500 0.500
Se1 0.000 0.000 0.500
# Total energy, Ry/atom: -1.6340
# Crystal system: cubic
# Density, g/cm³: 4.9

[3]
# ScInSi, PBEsol geometry, DFT meta-GGA SCAN
data_ScInSi
_chemical_formula_sum 'Sc2 In2 Si2'
_cell_length_a 3.082
_cell_length_b 3.751
_cell_length_c 10.132
_cell_angle_alpha 90.00
_cell_angle_beta 90.00
_cell_angle_gamma 90.00
_space_group_name_H-M_alt 'I m m 2'
_space_group_IT_number 44
loop_
_space_group_symop_operation_xyz
'x,y,z'
'-x,-y,z'
'-x,y,z'
'x,-y,z'
'x+1/2,y+1/2,z+1/2'
'-x+1/2,-y+1/2,z+1/2'
'-x+1/2,y+1/2,z+1/2'
'x+1/2,-y+1/2,z+1/2'
loop_
_atom_site_label
_atom_site_fract_x
_atom_site_fract_y
_atom_site_fract_z
Sc1 0.000 0.000 0.000
In1 0.000 0.000 0.304
Si1 0.000 0.000 0.645
# Total energy, Ry/atom: -1.4222
# Crystal system: orthorhombic
# Density, g/cm³: 5.3
# Energy above the most stable polymorph in this dataset, meV per atom: 0

[4]
# ScIn2Si, PBEsol geometry, DFT meta-GGA SCAN
data_ScIn2Si
_chemical_formula_sum 'Sc1 In2 Si1'
_cell_length_a 3.221
_cell_length_b 3.221
_cell_length_c 8.175
_cell_angle_alpha 90.00
_cell_angle_beta 90.00
_cell_angle_gamma 90.00
_space_group_name_H-M_alt 'P 4 m m'
_space_group_IT_number 99
loop_
_space_group_symop_operation_xyz
'x,y,z'
'-y,x,z'
'-x,-y,z'
'y,-x,z'
'-x,y,z'
'y,x,z'
'x,-y,z'
'-y,-x,z'
loop_
_atom_site_label
_atom_site_fract_x
_atom_site_fract_y
_atom_site_fract_z
Sc1 0.000 0.000 0.000
In1 0.000 0.000 0.437
In2 0.500 0.500 0.735
Si1 0.500 0.500 0.193
# Total energy, Ry/atom: -1.6764
# Crystal system: tetragonal
# Density, g/cm³: 5.9
# Energy above the most stable polymorph in this dataset, meV per atom: 213